(1)
The following is a PBE calculation of an optimized crystal structure of VFe2Ni6, from Alexandria via LeMat-Bulk.

Values from the calculation:
- Energy of formation from the pure elements: -9.0 kJ/mol of atoms
- Total magnetic moment: 0.712 μB per atom

Lattice parameters (Å, degrees): 3.533 4.386 7.498 73.84 76.37 66.25
Site moments in Bohr magnetons follow the coordinates.
Positions (direct):
Ni: 0.000 0.168 0.831  0.42
Ni: 0.665 0.723 0.946  0.52
Ni: 0.666 0.058 0.611  0.34
Ni: 0.335 0.277 0.054  0.52
Ni: 0.000 0.832 0.169  0.42
Ni: 0.334 0.942 0.389  0.34
Fe: 0.671 0.387 0.272  2.52
Fe: 0.329 0.613 0.728  2.52
V: 0.000 0.500 0.500  -0.92

(2)
The following is a PBE calculation of an optimized crystal structure of V3FeNi, from Alexandria via LeMat-Bulk.

Values from the calculation:
- Energy of formation from the pure elements: 80.2 kJ/mol of atoms
- Total magnetic moment: 0.000 μB per atom

Lattice parameters (Å, degrees): 4.237 4.237 4.237 90.00 90.00 90.00
Positions (direct):
Ni: 0.500 0.500 0.500
V: 0.000 0.500 0.000
V: 0.000 0.000 0.500
V: 0.500 0.000 0.000
Fe: 0.000 0.000 0.000

E_tot, respectively: -61.573, -37.442 eV for the cell shown.
Energy above the lowest structure with this stoichiometry, respectively: 0.000, 0.000 eV per atom.